Entry 1:
Tb5Ho2Sc5 | PBE | optimized geometry

Computed properties:
Energy relative to the elements   0.60 eV per formula unit
Fermi-level density of states   1.489 states/eV/atom

Unit cell a=14.5299 b=4.8443 c=10.8679 alpha=90.00 beta=116.53 gamma=90.00
Space group C2/m (No. 12)
Asymmetric unit:
Tb  0.0000  0.0000  0.0000
Tb  0.0878  0.0000  0.7522
Tb  0.1646  0.0000  0.4993
Ho  0.0834  0.5000  0.2458
Sc  0.0000  0.5000  0.5000
Sc  0.1711  0.5000  0.0018
Sc  0.2498  0.0000  0.2457

=====

Entry 2:
Tb3Ho4Sc5 | PBE | optimized geometry

Computed properties:
Energy relative to the elements   2.94 eV per formula unit
Fermi-level density of states   1.707 states/eV/atom

Unit cell a=15.3027 b=5.6762 c=9.2571 alpha=90.00 beta=119.83 gamma=90.00
Space group C2/m (No. 12)
Asymmetric unit:
Tb  0.0000  0.0000  0.0000
Tb  0.2275  0.5000  0.2610
Ho  0.0857  0.5000  0.4435
Ho  0.2082  0.5000  0.8820
Sc  0.0000  0.5000  0.0000
Sc  0.0617  0.0000  0.7001
Sc  0.1665  0.0000  0.3621

=====

Entry 3:
Tb6Ho2Sc | PBE | optimized geometry

Computed properties:
Energy relative to the elements   0.26 eV per formula unit
Fermi-level density of states   1.278 states/eV/atom
E above lowest polymorph   0 meV/atom

Unit cell a=11.1164 b=4.9752 c=10.5652 alpha=90.00 beta=108.50 gamma=90.00
Space group C2/m (No. 12)
Asymmetric unit:
Tb  0.1632  0.0000  0.2190
Tb  0.1662  0.0000  0.5551
Tb  0.1681  0.0000  0.8912
Ho  0.0018  0.5000  0.6704
Sc  0.0000  0.5000  0.0000

=====

Entry 4:
Tb3HoSc2 | PBE | optimized geometry

Computed properties:
Energy relative to the elements   1.76 eV per formula unit
Fermi-level density of states   1.793 states/eV/atom
E above lowest polymorph   158 meV/atom

Unit cell a=14.3279 b=9.6682 c=5.4406 alpha=90.00 beta=90.00 gamma=90.00
Space group Cmcm (No. 63)
Asymmetric unit:
Tb  0.0000  0.0938  0.2500
Tb  0.2434  0.1321  0.2500
Ho  0.0000  0.2778  0.7500
Sc  0.1052  0.4057  0.2500